A:
A relaxed TePtPbO crystal, computed with PBE.

Unit cell a=4.3649 b=4.3649 c=9.0958 alpha=90.00 beta=90.00 gamma=90.00
Atoms (fractional coordinates):
Te (0.2500, 0.2500, 0.1430)
Te (0.7500, 0.7500, 0.8570)
Pt (0.2500, 0.2500, 0.4536)
Pt (0.7500, 0.7500, 0.5464)
Pb (0.2500, 0.2500, 0.7707)
Pb (0.7500, 0.7500, 0.2293)
O (0.2500, 0.7500, 0.5000)
O (0.7500, 0.2500, 0.5000)

As for the calculated volume: 21.66 Å³/atom.

***

B:
A relaxed TePtPbO crystal, computed with PBE.

Unit cell a=3.7976 b=3.7976 c=12.5919 alpha=90.00 beta=90.00 gamma=90.00
Atoms (fractional coordinates):
Te (0.2500, 0.2500, 0.1545)
Te (0.7500, 0.7500, 0.8455)
Pt (0.2500, 0.7500, 0.0000)
Pt (0.7500, 0.2500, 0.0000)
Pb (0.2500, 0.2500, 0.6035)
Pb (0.7500, 0.7500, 0.3965)
O (0.2500, 0.2500, 0.4275)
O (0.7500, 0.7500, 0.5725)

As for the calculated volume: 22.70 Å³/atom.

***

Energies relative to the minimum, meV/atom: A 445; B 0

***

A:
A relaxed LaYCd crystal, computed with PBE.

Unit cell a=5.2585 b=5.2585 c=5.2585 alpha=60.00 beta=60.00 gamma=60.00
Atoms (fractional coordinates):
La (0.0000, 0.0000, 0.0000)
Y (0.5000, 0.5000, 0.5000)
Cd (0.2500, 0.2500, 0.2500)

As for the calculated volume: 34.27 Å³/atom.

***

B:
A relaxed LaYCd crystal, computed with PBE.

Unit cell a=8.2534 b=8.2534 c=4.7073 alpha=90.00 beta=90.00 gamma=120.00
Atoms (fractional coordinates):
La (0.0000, 0.6096, 0.0000)
La (0.3904, 0.3904, 0.0000)
La (0.6096, 0.0000, 0.0000)
Y (0.0000, 0.2664, 0.5000)
Y (0.2664, 0.0000, 0.5000)
Y (0.7336, 0.7336, 0.5000)
Cd (0.0000, 0.0000, 0.0000)
Cd (0.3333, 0.6667, 0.5000)
Cd (0.6667, 0.3333, 0.5000)

As for the calculated volume: 30.86 Å³/atom.

***

Energies relative to the minimum, meV/atom: A 201; B 0

***

A:
A relaxed NdTlZnSe3 crystal, computed with PBE.

Unit cell a=8.4633 b=4.2096 c=10.6708 alpha=90.00 beta=107.47 gamma=90.00
Atoms (fractional coordinates):
Nd (0.1961, 0.2500, 0.1374)
Nd (0.8039, 0.7500, 0.8626)
Tl (0.2328, 0.7500, 0.7092)
Tl (0.7672, 0.2500, 0.2908)
Zn (0.4255, 0.7500, 0.3928)
Zn (0.5745, 0.2500, 0.6072)
Se (0.0473, 0.2500, 0.8530)
Se (0.2834, 0.2500, 0.4429)
Se (0.4496, 0.7500, 0.1684)
Se (0.5504, 0.2500, 0.8316)
Se (0.7166, 0.7500, 0.5571)
Se (0.9527, 0.7500, 0.1470)

As for the calculated volume: 30.22 Å³/atom.

***

B:
A relaxed NdTlZnSe3 crystal, computed with PBE.

Unit cell a=9.0316 b=9.0316 c=9.2732 alpha=106.08 beta=106.08 gamma=27.69
Atoms (fractional coordinates):
Nd (0.1756, 0.1756, 0.1091)
Nd (0.8244, 0.8244, 0.8909)
Tl (0.1350, 0.1350, 0.5746)
Tl (0.8650, 0.8650, 0.4254)
Zn (0.4942, 0.4942, 0.7860)
Zn (0.5058, 0.5058, 0.2140)
Se (0.0000, 0.0000, 0.0000)
Se (0.3443, 0.3443, 0.6922)
Se (0.3464, 0.3464, 0.1250)
Se (0.5000, 0.5000, 0.5000)
Se (0.6536, 0.6536, 0.8750)
Se (0.6557, 0.6557, 0.3078)

As for the calculated volume: 28.08 Å³/atom.

***

Energies relative to the minimum, meV/atom: A 0; B 131

***

A:
A relaxed KRbZrS3 crystal, computed with PBE.

Unit cell a=7.7688 b=3.8986 c=10.6728 alpha=90.00 beta=94.73 gamma=90.00
Atoms (fractional coordinates):
K (0.0815, 0.2500, 0.1460)
K (0.9185, 0.7500, 0.8540)
Rb (0.2487, 0.7500, 0.4812)
Rb (0.7513, 0.2500, 0.5188)
Zr (0.4029, 0.2500, 0.8351)
Zr (0.5971, 0.7500, 0.1649)
S (0.1340, 0.2500, 0.7044)
S (0.3097, 0.7500, 0.9862)
S (0.4525, 0.2500, 0.2804)
S (0.5475, 0.7500, 0.7196)
S (0.6903, 0.2500, 0.0138)
S (0.8660, 0.7500, 0.2956)

As for the calculated volume: 26.85 Å³/atom.

***

B:
A relaxed KRbZrS3 crystal, computed with PBE.

Unit cell a=14.8461 b=3.7525 c=12.7126 alpha=90.00 beta=90.00 gamma=90.00
Atoms (fractional coordinates):
K (0.2337, 0.2500, 0.1007)
K (0.2663, 0.7500, 0.6007)
K (0.7337, 0.2500, 0.3993)
K (0.7663, 0.7500, 0.8993)
Rb (0.0809, 0.2500, 0.3846)
Rb (0.4191, 0.7500, 0.8846)
Rb (0.5809, 0.2500, 0.1154)
Rb (0.9191, 0.7500, 0.6154)
Zr (0.0878, 0.2500, 0.8295)
Zr (0.4122, 0.7500, 0.3295)
Zr (0.5878, 0.2500, 0.6705)
Zr (0.9122, 0.7500, 0.1705)
S (0.0272, 0.2500, 0.1403)
S (0.0994, 0.2500, 0.6422)
S (0.2007, 0.7500, 0.8842)
S (0.2993, 0.2500, 0.3842)
S (0.4006, 0.7500, 0.1422)
S (0.4728, 0.7500, 0.6403)
S (0.5272, 0.2500, 0.3597)
S (0.5994, 0.2500, 0.8578)
S (0.7007, 0.7500, 0.6158)
S (0.7993, 0.2500, 0.1158)
S (0.9006, 0.7500, 0.3578)
S (0.9728, 0.7500, 0.8597)

As for the calculated volume: 29.51 Å³/atom.

***

Energies relative to the minimum, meV/atom: A 0; B 72